A geometry-optimized K2TlGeO4 structure, computed with PBE-GGA.

a b c (Å): 6.0103 6.0103 6.0103
angles (deg): 120.29 120.29 89.51
Element x y z (fractional)
K 0.0000 0.0000 0.0000
K 0.7500 0.2500 0.5000
Tl 0.5000 0.5000 0.0000
Ge 0.2500 0.7500 0.5000
O 0.2004 0.0599 0.5389
O 0.3385 0.7996 0.8595
O 0.5210 0.6615 0.4611
O 0.9401 0.4790 0.1405

Summary:
E_tot: -5.049 eV per atom
raw formation energy: -1422 meV per atom
calculated volume: 19.11 Å³ per atom